# 1
Below is a relaxed structure of GdScAlPt, with properties calculated at the PBE-GGA level.

Output
* total magnetic moment: 1.764 μB per atom
* formation enthalpy at 0 K: -0.72 eV per atom
* space group: No. 216

POSCAR file:
```
GdScAlPt
1.0
6.946 0.000 0.000
0.000 6.946 0.000
0.000 0.000 6.946
Gd Sc Al Pt
4 4 4 4
Direct
0.000 0.000 0.000
0.000 0.500 0.500
0.500 0.000 0.500
0.500 0.500 0.000
0.000 0.000 0.500
0.000 0.500 0.000
0.500 0.000 0.000
0.500 0.500 0.500
0.250 0.250 0.750
0.250 0.750 0.250
0.750 0.250 0.250
0.750 0.750 0.750
0.250 0.250 0.250
0.250 0.750 0.750
0.750 0.250 0.750
0.750 0.750 0.250
```

=====

# 2
Below is a relaxed structure of GdAlZnPt, with properties calculated at the PBE-GGA level.

Output
* total magnetic moment: 1.784 μB per atom
* formation enthalpy at 0 K: -0.70 eV per atom
* space group: No. 216

POSCAR file:
```
GdAlZnPt
1.0
6.673 0.000 0.000
0.000 6.673 0.000
0.000 0.000 6.673
Gd Al Zn Pt
4 4 4 4
Direct
0.000 0.000 0.000
0.000 0.500 0.500
0.500 0.000 0.500
0.500 0.500 0.000
0.000 0.000 0.500
0.000 0.500 0.000
0.500 0.000 0.000
0.500 0.500 0.500
0.250 0.250 0.250
0.250 0.750 0.750
0.750 0.250 0.750
0.750 0.750 0.250
0.250 0.250 0.750
0.250 0.750 0.250
0.750 0.250 0.250
0.750 0.750 0.750
```

=====

# 3
Below is a relaxed structure of GdPu2Al, with properties calculated at the PBE-GGA level.

Output
* distance to the lowest polymorph of the same formula: 183 meV per atom
* total magnetic moment: 5.046 μB per atom
* formation enthalpy at 0 K: 0.11 eV per atom
* space group: No. 225

POSCAR file:
```
GdPu2Al
1.0
7.408 0.000 0.000
0.000 7.408 0.000
0.000 0.000 7.408
Gd Pu Al
4 8 4
Direct
0.000 0.000 0.000
0.000 0.500 0.500
0.500 0.000 0.500
0.500 0.500 0.000
0.250 0.250 0.250
0.250 0.250 0.750
0.250 0.750 0.250
0.250 0.750 0.750
0.750 0.250 0.250
0.750 0.250 0.750
0.750 0.750 0.250
0.750 0.750 0.750
0.000 0.000 0.500
0.000 0.500 0.000
0.500 0.000 0.000
0.500 0.500 0.500
```

=====

# 4
Below is a relaxed structure of GdPuAl, with properties calculated at the PBE-GGA level.

Output
* total magnetic moment: 0.341 μB per atom
* formation enthalpy at 0 K: 0.38 eV per atom
* space group: No. 107

POSCAR file:
```
GdPuAl
1.0
3.101 0.000 0.000
0.000 3.101 0.000
0.000 0.000 16.993
Gd Pu Al
2 2 2
Direct
0.000 0.000 0.000
0.500 0.500 0.500
0.000 0.000 0.809
0.500 0.500 0.309
0.000 0.000 0.632
0.500 0.500 0.132
```

=====

# 5
Below is a relaxed structure of GdPu2Al, with properties calculated at the PBE-GGA level.

Output
* distance to the lowest polymorph of the same formula: 128 meV per atom
* total magnetic moment: 4.884 μB per atom
* formation enthalpy at 0 K: 0.06 eV per atom
* space group: No. 123

POSCAR file:
```
GdPu2Al
1.0
3.977 0.000 0.000
0.000 3.977 0.000
0.000 0.000 6.533
Gd Pu Al
1 2 1
Direct
0.000 0.000 0.000
0.500 0.500 0.277
0.500 0.500 0.723
0.000 0.000 0.500
```

=====

# 6
Below is a relaxed structure of GdPu2Al, with properties calculated at the PBE-GGA level.

Output
* distance to the lowest polymorph of the same formula: 0 meV per atom
* total magnetic moment: 4.763 μB per atom
* formation enthalpy at 0 K: -0.07 eV per atom
* space group: No. 123

POSCAR file:
```
GdPu2Al
1.0
4.507 0.000 0.000
0.000 4.507 0.000
0.000 0.000 4.955
Gd Pu Al
1 2 1
Direct
0.000 0.000 0.000
0.000 0.500 0.500
0.500 0.000 0.500
0.500 0.500 0.000
```

=====

# 7
Below is a relaxed structure of GdPuAlSn, with properties calculated at the PBE-GGA level.

Output
* total magnetic moment: 3.247 μB per atom
* formation enthalpy at 0 K: -0.32 eV per atom
* space group: No. 216

POSCAR file:
```
GdPuAlSn
1.0
7.422 0.000 0.000
0.000 7.422 0.000
0.000 0.000 7.422
Gd Pu Al Sn
4 4 4 4
Direct
0.000 0.000 0.000
0.000 0.500 0.500
0.500 0.000 0.500
0.500 0.500 0.000
0.000 0.000 0.500
0.000 0.500 0.000
0.500 0.000 0.000
0.500 0.500 0.500
0.250 0.250 0.750
0.250 0.750 0.250
0.750 0.250 0.250
0.750 0.750 0.750
0.250 0.250 0.250
0.250 0.750 0.750
0.750 0.250 0.750
0.750 0.750 0.250
```

=====

# 8
Below is a relaxed structure of TbGdPuAl, with properties calculated at the PBE-GGA level.

Output
* total magnetic moment: 0.238 μB per atom
* formation enthalpy at 0 K: 0.05 eV per atom
* space group: No. 216

POSCAR file:
```
TbGdPuAl
1.0
7.533 0.000 0.000
0.000 7.533 0.000
0.000 0.000 7.533
Tb Gd Pu Al
4 4 4 4
Direct
0.000 0.000 0.000
0.000 0.500 0.500
0.500 0.000 0.500
0.500 0.500 0.000
0.250 0.250 0.250
0.250 0.750 0.750
0.750 0.250 0.750
0.750 0.750 0.250
0.250 0.250 0.750
0.250 0.750 0.250
0.750 0.250 0.250
0.750 0.750 0.750
0.000 0.000 0.500
0.000 0.500 0.000
0.500 0.000 0.000
0.500 0.500 0.500
```

=====

# 9
Below is a relaxed structure of GdPuThAl, with properties calculated at the PBE-GGA level.

Output
* total magnetic moment: 3.537 μB per atom
* formation enthalpy at 0 K: 0.10 eV per atom
* space group: No. 216

POSCAR file:
```
GdPuThAl
1.0
7.524 0.000 0.000
0.000 7.524 0.000
0.000 0.000 7.524
Gd Pu Th Al
4 4 4 4
Direct
0.000 0.000 0.000
0.000 0.500 0.500
0.500 0.000 0.500
0.500 0.500 0.000
0.000 0.000 0.500
0.000 0.500 0.000
0.500 0.000 0.000
0.500 0.500 0.500
0.250 0.250 0.250
0.250 0.750 0.750
0.750 0.250 0.750
0.750 0.750 0.250
0.250 0.250 0.750
0.250 0.750 0.250
0.750 0.250 0.250
0.750 0.750 0.750
```

=====

# 10
Below is a relaxed structure of GdPuAlTl, with properties calculated at the PBE-GGA level.

Output
* total magnetic moment: 0.367 μB per atom
* formation enthalpy at 0 K: -0.14 eV per atom
* space group: No. 216

POSCAR file:
```
GdPuAlTl
1.0
7.490 0.000 0.000
0.000 7.490 0.000
0.000 0.000 7.490
Gd Pu Al Tl
4 4 4 4
Direct
0.000 0.000 0.000
0.000 0.500 0.500
0.500 0.000 0.500
0.500 0.500 0.000
0.000 0.000 0.500
0.000 0.500 0.000
0.500 0.000 0.000
0.500 0.500 0.500
0.250 0.250 0.250
0.250 0.750 0.750
0.750 0.250 0.750
0.750 0.750 0.250
0.250 0.250 0.750
0.250 0.750 0.250
0.750 0.250 0.250
0.750 0.750 0.750
```

=====

# 11
Below is a relaxed structure of Gd2AlRh, with properties calculated at the PBE-GGA level.

Output
* distance to the lowest polymorph of the same formula: 80 meV per atom
* total magnetic moment: 3.543 μB per atom
* formation enthalpy at 0 K: -0.51 eV per atom
* space group: No. 225

POSCAR file:
```
Gd2AlRh
1.0
7.122 0.000 0.000
0.000 7.122 0.000
0.000 0.000 7.122
Gd Al Rh
8 4 4
Direct
0.250 0.250 0.250
0.250 0.250 0.750
0.250 0.750 0.250
0.250 0.750 0.750
0.750 0.250 0.250
0.750 0.250 0.750
0.750 0.750 0.250
0.750 0.750 0.750
0.000 0.000 0.000
0.000 0.500 0.500
0.500 0.000 0.500
0.500 0.500 0.000
0.000 0.000 0.500
0.000 0.500 0.000
0.500 0.000 0.000
0.500 0.500 0.500
```

=====

# 12
Below is a relaxed structure of GdAl2Rh, with properties calculated at the PBE-GGA level.

Output
* total magnetic moment: 1.851 μB per atom
* formation enthalpy at 0 K: -0.67 eV per atom
* space group: No. 123

POSCAR file:
```
GdAl2Rh
1.0
3.137 0.000 0.000
0.000 3.137 0.000
0.000 0.000 7.384
Gd Al Rh
1 2 1
Direct
0.000 0.000 0.000
0.500 0.500 0.310
0.500 0.500 0.690
0.000 0.000 0.500
```

=====

# 13
Below is a relaxed structure of Gd2Al9Rh3, with properties calculated at the PBE-GGA level.

Output
* total magnetic moment: 1.020 μB per atom
* formation enthalpy at 0 K: -0.83 eV per atom
* space group: No. 63

POSCAR file:
```
Gd2Al9Rh3
1.0
6.527 -3.818 0.000
6.527 3.818 0.000
0.000 0.000 9.512
Gd Al Rh
4 18 6
Direct
0.005 0.672 0.750
0.328 0.995 0.750
0.672 0.005 0.250
0.995 0.328 0.250
0.001 0.664 0.075
0.001 0.664 0.425
0.129 0.871 0.250
0.333 0.667 0.549
0.333 0.667 0.951
0.336 0.999 0.075
0.336 0.999 0.425
0.340 0.450 0.250
0.450 0.340 0.750
0.550 0.660 0.250
0.660 0.550 0.750
0.664 0.001 0.575
0.664 0.001 0.925
0.667 0.333 0.049
0.667 0.333 0.451
0.871 0.129 0.750
0.999 0.336 0.575
0.999 0.336 0.925
0.000 0.000 0.000
0.000 0.000 0.500
0.328 0.328 0.000
0.328 0.328 0.500
0.672 0.672 0.000
0.672 0.672 0.500
```

=====

# 14
Below is a relaxed structure of GdAlRh, with properties calculated at the PBE-GGA level.

Output
* total magnetic moment: 2.388 μB per atom
* formation enthalpy at 0 K: -0.72 eV per atom
* space group: No. 187

POSCAR file:
```
GdAlRh
1.0
4.315 0.000 0.000
-2.158 3.737 0.000
0.000 0.000 3.877
Gd Al Rh
1 1 1
Direct
0.000 0.000 0.000
0.333 0.667 0.500
0.667 0.333 0.500
```

=====

# 15
Below is a relaxed structure of GdAlRh, with properties calculated at the PBE-GGA level.

Output
* total magnetic moment: 2.368 μB per atom
* formation enthalpy at 0 K: -0.90 eV per atom
* space group: No. 62

POSCAR file:
```
GdAlRh
1.0
6.965 0.000 0.000
0.000 4.204 0.000
0.000 0.000 8.032
Gd Al Rh
4 4 4
Direct
0.038 0.250 0.181
0.462 0.750 0.681
0.538 0.250 0.319
0.962 0.750 0.819
0.135 0.250 0.561
0.365 0.750 0.061
0.635 0.250 0.939
0.865 0.750 0.439
0.233 0.750 0.380
0.267 0.250 0.880
0.733 0.750 0.120
0.767 0.250 0.620
```

=====

# 16
Below is a relaxed structure of GdAl2Rh, with properties calculated at the PBE-GGA level.

Output
* total magnetic moment: 1.822 μB per atom
* formation enthalpy at 0 K: -0.32 eV per atom
* space group: No. 166

POSCAR file:
```
GdAl2Rh
1.0
3.221 0.000 0.000
-1.610 2.789 0.000
0.000 0.000 26.129
Gd Al Rh
3 6 3
Direct
0.000 0.000 0.000
0.333 0.667 0.667
0.667 0.333 0.333
0.000 0.000 0.233
0.000 0.000 0.767
0.333 0.667 0.434
0.333 0.667 0.900
0.667 0.333 0.100
0.667 0.333 0.566
0.000 0.000 0.500
0.333 0.667 0.167
0.667 0.333 0.833
```

=====

# 17
Below is a relaxed structure of GdAlRh2, with properties calculated at the PBE-GGA level.

Output
* total magnetic moment: 1.770 μB per atom
* formation enthalpy at 0 K: -0.83 eV per atom
* space group: No. 123

POSCAR file:
```
GdAlRh2
1.0
3.153 0.000 0.000
0.000 3.153 0.000
0.000 0.000 6.813
Gd Al Rh
1 1 2
Direct
0.000 0.000 0.000
0.000 0.000 0.500
0.500 0.500 0.290
0.500 0.500 0.710
```

=====

# 18
Below is a relaxed structure of GdAlRh, with properties calculated at the PBE-GGA level.

Output
* total magnetic moment: 2.417 μB per atom
* formation enthalpy at 0 K: -0.70 eV per atom
* space group: No. 107

POSCAR file:
```
GdAlRh
1.0
3.215 0.000 0.000
0.000 3.215 0.000
0.000 0.000 11.143
Gd Al Rh
2 2 2
Direct
0.000 0.000 0.000
0.500 0.500 0.500
0.000 0.000 0.289
0.500 0.500 0.789
0.000 0.000 0.681
0.500 0.500 0.181
```

=====

# 19
Below is a relaxed structure of GdAlRh2, with properties calculated at the PBE-GGA level.

Output
* total magnetic moment: 1.754 μB per atom
* formation enthalpy at 0 K: -0.83 eV per atom
* space group: No. 123

POSCAR file:
```
GdAlRh2
1.0
4.460 0.000 0.000
0.000 4.460 0.000
0.000 0.000 3.437
Gd Al Rh
1 1 2
Direct
0.000 0.000 0.000
0.500 0.500 0.000
0.000 0.500 0.500
0.500 0.000 0.500
```

=====

# 20
Below is a relaxed structure of Gd2AlRh, with properties calculated at the PBE-GGA level.

Output
* distance to the lowest polymorph of the same formula: 0 meV per atom
* total magnetic moment: 3.542 μB per atom
* formation enthalpy at 0 K: -0.59 eV per atom
* space group: No. 123

POSCAR file:
```
Gd2AlRh
1.0
3.593 0.000 0.000
0.000 3.593 0.000
0.000 0.000 6.929
Gd Al Rh
2 1 1
Direct
0.000 0.000 0.234
0.000 0.000 0.766
0.500 0.500 0.500
0.500 0.500 0.000
```

=====

# 21
Below is a relaxed structure of GdAlRuRh, with properties calculated at the PBE-GGA level.

Output
* total magnetic moment: 1.783 μB per atom
* formation enthalpy at 0 K: -0.59 eV per atom
* space group: No. 216

POSCAR file:
```
GdAlRuRh
1.0
6.469 0.000 0.000
0.000 6.469 0.000
0.000 0.000 6.469
Gd Al Ru Rh
4 4 4 4
Direct
0.000 0.000 0.000
0.000 0.500 0.500
0.500 0.000 0.500
0.500 0.500 0.000
0.000 0.000 0.500
0.000 0.500 0.000
0.500 0.000 0.000
0.500 0.500 0.500
0.250 0.250 0.750
0.250 0.750 0.250
0.750 0.250 0.250
0.750 0.750 0.750
0.250 0.250 0.250
0.250 0.750 0.750
0.750 0.250 0.750
0.750 0.750 0.250
```

=====

# 22
Below is a relaxed structure of GdScAlRh, with properties calculated at the PBE-GGA level.

Output
* total magnetic moment: 1.781 μB per atom
* formation enthalpy at 0 K: -0.56 eV per atom
* space group: No. 216

POSCAR file:
```
GdScAlRh
1.0
6.888 0.000 0.000
0.000 6.888 0.000
0.000 0.000 6.888
Gd Sc Al Rh
4 4 4 4
Direct
0.000 0.000 0.000
0.000 0.500 0.500
0.500 0.000 0.500
0.500 0.500 0.000
0.000 0.000 0.500
0.000 0.500 0.000
0.500 0.000 0.000
0.500 0.500 0.500
0.250 0.250 0.750
0.250 0.750 0.250
0.750 0.250 0.250
0.750 0.750 0.750
0.250 0.250 0.250
0.250 0.750 0.750
0.750 0.250 0.750
0.750 0.750 0.250
```

=====

# 23
Below is a relaxed structure of SmGdAlRh, with properties calculated at the PBE-GGA level.

Output
* total magnetic moment: 1.773 μB per atom
* formation enthalpy at 0 K: -0.49 eV per atom
* space group: No. 216

POSCAR file:
```
SmGdAlRh
1.0
7.165 0.000 0.000
0.000 7.165 0.000
0.000 0.000 7.165
Sm Gd Al Rh
4 4 4 4
Direct
0.000 0.000 0.000
0.000 0.500 0.500
0.500 0.000 0.500
0.500 0.500 0.000
0.000 0.000 0.500
0.000 0.500 0.000
0.500 0.000 0.000
0.500 0.500 0.500
0.250 0.250 0.750
0.250 0.750 0.250
0.750 0.250 0.250
0.750 0.750 0.750
0.250 0.250 0.250
0.250 0.750 0.750
0.750 0.250 0.750
0.750 0.750 0.250
```

=====

# 24
Below is a relaxed structure of GdAlRu2, with properties calculated at the PBE-GGA level.

Output
* total magnetic moment: 1.664 μB per atom
* formation enthalpy at 0 K: -0.34 eV per atom
* space group: No. 123

POSCAR file:
```
GdAlRu2
1.0
3.238 0.000 0.000
0.000 3.238 0.000
0.000 0.000 6.442
Gd Al Ru
1 1 2
Direct
0.000 0.000 0.000
0.000 0.000 0.500
0.500 0.500 0.287
0.500 0.500 0.713
```

=====

# 25
Below is a relaxed structure of GdAl4Ru, with properties calculated at the PBE-GGA level.

Output
* total magnetic moment: 1.181 μB per atom
* formation enthalpy at 0 K: -0.51 eV per atom
* space group: No. 11

POSCAR file:
```
GdAl4Ru
1.0
4.128 0.000 0.000
0.000 6.676 0.000
-2.084 0.000 8.023
Gd Al Ru
2 8 2
Direct
0.118 0.250 0.235
0.882 0.750 0.765
0.075 0.750 0.147
0.315 0.053 0.633
0.315 0.447 0.633
0.500 0.000 0.000
0.500 0.500 0.000
0.685 0.553 0.367
0.685 0.947 0.367
0.925 0.250 0.853
0.227 0.750 0.452
0.773 0.250 0.548
```

=====

# 26
Below is a relaxed structure of GdAlRu2, with properties calculated at the PBE-GGA level.

Output
* total magnetic moment: 1.656 μB per atom
* formation enthalpy at 0 K: -0.31 eV per atom
* space group: No. 123

POSCAR file:
```
GdAlRu2
1.0
4.492 0.000 0.000
0.000 4.492 0.000
0.000 0.000 3.335
Gd Al Ru
1 1 2
Direct
0.000 0.000 0.000
0.500 0.500 0.000
0.000 0.500 0.500
0.500 0.000 0.500
```

=====

# 27
Below is a relaxed structure of GdAl10Ru2, with properties calculated at the PBE-GGA level.

Output
* total magnetic moment: 0.541 μB per atom
* formation enthalpy at 0 K: -0.52 eV per atom
* space group: No. 63

POSCAR file:
```
GdAl10Ru2
1.0
4.552 -5.126 0.000
4.552 5.126 0.000
0.000 0.000 9.162
Gd Al Ru
2 20 4
Direct
0.126 0.874 0.750
0.874 0.126 0.250
0.141 0.412 0.750
0.157 0.843 0.101
0.157 0.843 0.399
0.219 0.480 0.250
0.225 0.225 0.000
0.225 0.225 0.500
0.377 0.623 0.549
0.377 0.623 0.951
0.412 0.141 0.250
0.480 0.219 0.750
0.520 0.781 0.250
0.588 0.859 0.750
0.623 0.377 0.049
0.623 0.377 0.451
0.775 0.775 0.000
0.775 0.775 0.500
0.781 0.520 0.750
0.843 0.157 0.601
0.843 0.157 0.899
0.859 0.588 0.250
0.000 0.500 0.000
0.000 0.500 0.500
0.500 0.000 0.000
0.500 0.000 0.500
```